[1]
Compound: TlZnSbTe2
Source: Alexandria via LeMat-Bulk
Functional: PBE-GGA
Structure: optimized geometry

Computed properties:
ΔE_f (raw)   18.75 kcal/mol of atoms
Energy above the most stable polymorph in this dataset   0.605 eV per atom
N(E_F)   1.568 states/eV/atom
Raw total energy   -2.00 eV per atom

Cell and atoms, written as CIF:
```
data_TlZnSbTe2
_chemical_formula_sum 'Tl1 Zn1 Sb1 Te2'
_symmetry_space_group_name_H-M 'P 1'
_symmetry_Int_Tables_number 1
_symmetry_space_group_name_Hall 'P 1'
_cell_length_a 5.833
_cell_length_b 5.833
_cell_length_c 5.779
_cell_angle_alpha 90.00
_cell_angle_beta 90.00
_cell_angle_gamma 90.00
loop_
_atom_site_label
_atom_site_type_symbol
_atom_site_fract_x
_atom_site_fract_y
_atom_site_fract_z
Sb1 Sb 0.000 0.000 0.500
Tl1 Tl 0.000 0.000 0.000
Te1 Te 0.000 0.500 0.000
Te2 Te 0.500 0.000 0.000
Zn1 Zn 0.500 0.500 0.500
```

***

[2]
Compound: TlZnSb2Te
Source: Alexandria via LeMat-Bulk
Functional: PBE-GGA
Structure: optimized geometry

Computed properties:
ΔE_f (raw)   7.17 kcal/mol of atoms
Energy above the most stable polymorph in this dataset   0.000 eV per atom
N(E_F)   0.695 states/eV/atom
Raw total energy   -2.69 eV per atom

Cell and atoms, written as CIF:
```
data_TlZnSb2Te
_chemical_formula_sum 'Tl1 Zn1 Sb2 Te1'
_symmetry_space_group_name_H-M 'P 1'
_symmetry_Int_Tables_number 1
_symmetry_space_group_name_Hall 'P 1'
_cell_length_a 5.251
_cell_length_b 5.251
_cell_length_c 5.673
_cell_angle_alpha 90.00
_cell_angle_beta 90.00
_cell_angle_gamma 90.00
loop_
_atom_site_label
_atom_site_type_symbol
_atom_site_fract_x
_atom_site_fract_y
_atom_site_fract_z
Sb1 Sb 0.000 0.500 0.000
Sb2 Sb 0.500 0.000 0.000
Tl1 Tl 0.500 0.500 0.500
Te1 Te 0.000 0.000 0.500
Zn1 Zn 0.000 0.000 0.000
```

***

[3]
Compound: TlZnSbTe2
Source: Alexandria via LeMat-Bulk
Functional: PBE-GGA
Structure: optimized geometry

Computed properties:
ΔE_f (raw)   4.80 kcal/mol of atoms
Energy above the most stable polymorph in this dataset   0.000 eV per atom
N(E_F)   0.604 states/eV/atom
Raw total energy   -2.60 eV per atom

Cell and atoms, written as CIF:
```
data_TlZnSbTe2
_chemical_formula_sum 'Tl1 Zn1 Sb1 Te2'
_symmetry_space_group_name_H-M 'P 1'
_symmetry_Int_Tables_number 1
_symmetry_space_group_name_Hall 'P 1'
_cell_length_a 5.559
_cell_length_b 5.559
_cell_length_c 5.145
_cell_angle_alpha 90.00
_cell_angle_beta 90.00
_cell_angle_gamma 90.00
loop_
_atom_site_label
_atom_site_type_symbol
_atom_site_fract_x
_atom_site_fract_y
_atom_site_fract_z
Sb1 Sb 0.000 0.000 0.500
Tl1 Tl 0.500 0.500 0.500
Te1 Te 0.000 0.500 0.000
Te2 Te 0.500 0.000 0.000
Zn1 Zn 0.000 0.000 0.000
```